# 1
This record from Alexandria describes SrGa3P after structural relaxation. The functional is PBE.

Summary:
Total moment (Bohr magnetons per cell): 0.0
Crystal system: cubic
Energy relative to the elements (meV per atom): 1229

Geometry as CIF:
```
data_SrGa3P
_chemical_formula_sum 'Sr1 Ga3 P1'
_cell_length_a 5.7228
_cell_length_b 5.7228
_cell_length_c 5.7228
_cell_angle_alpha 90.00
_cell_angle_beta 90.00
_cell_angle_gamma 90.00
_symmetry_space_group_name_H-M 'P 1'
_symmetry_Int_Tables_number 1
loop_
_symmetry_equiv_pos_as_xyz
'x,y,z'
loop_
_atom_site_label
_atom_site_fract_x
_atom_site_fract_y
_atom_site_fract_z
Sr1 0.0000 0.0000 0.0000
Ga1 0.0000 0.0000 0.5000
Ga2 0.0000 0.5000 0.0000
Ga3 0.5000 0.0000 0.0000
P1 0.5000 0.5000 0.5000
```

***

# 2
This record from Alexandria describes AlTePbN2 after structural relaxation. The functional is PBE.

Summary:
Energy (eV for the cell shown): -19.34
Total moment (Bohr magnetons per cell): 2.4
Crystal system: tetragonal

Geometry as CIF:
```
data_AlTePbN2
_chemical_formula_sum 'Al1 Te1 Pb1 N2'
_cell_length_a 4.4165
_cell_length_b 4.4165
_cell_length_c 6.4057
_cell_angle_alpha 90.00
_cell_angle_beta 90.00
_cell_angle_gamma 90.00
_symmetry_space_group_name_H-M 'P 1'
_symmetry_Int_Tables_number 1
loop_
_symmetry_equiv_pos_as_xyz
'x,y,z'
loop_
_atom_site_label
_atom_site_fract_x
_atom_site_fract_y
_atom_site_fract_z
Al1 0.0000 0.0000 0.0000
Te1 0.5000 0.5000 0.0000
Pb1 0.5000 0.5000 0.5000
N1 0.0000 0.5000 0.5000
N2 0.5000 0.0000 0.5000
```

***

# 3
This record from Alexandria describes HfMn5Fe after structural relaxation. The functional is PBE.

Summary:
Total moment (Bohr magnetons per cell): 11.6
Crystal system: orthorhombic
Energy relative to the elements (meV per atom): -47

Geometry as CIF:
```
data_HfMn5Fe
_chemical_formula_sum 'Hf4 Mn20 Fe4'
_cell_length_a 7.7935
_cell_length_b 4.6736
_cell_length_c 9.6406
_cell_angle_alpha 90.00
_cell_angle_beta 90.00
_cell_angle_gamma 90.00
_symmetry_space_group_name_H-M 'P 1'
_symmetry_Int_Tables_number 1
loop_
_symmetry_equiv_pos_as_xyz
'x,y,z'
loop_
_atom_site_label
_atom_site_fract_x
_atom_site_fract_y
_atom_site_fract_z
Hf1 0.2474 0.2500 0.0640
Hf2 0.2526 0.7500 0.5640
Hf3 0.7474 0.2500 0.4360
Hf4 0.7526 0.7500 0.9360
Mn1 0.0537 0.7500 0.0832
Mn2 0.0773 0.0143 0.3072
Mn3 0.0773 0.4857 0.3072
Mn4 0.0851 0.2500 0.5279
Mn5 0.1870 0.2500 0.7586
Mn6 0.3130 0.7500 0.2586
Mn7 0.4149 0.7500 0.0279
Mn8 0.4227 0.5143 0.8072
Mn9 0.4227 0.9857 0.8072
Mn10 0.4463 0.2500 0.5833
Mn11 0.5537 0.7500 0.4168
Mn12 0.5773 0.0143 0.1928
Mn13 0.5773 0.4857 0.1928
Mn14 0.5851 0.2500 0.9721
Mn15 0.6870 0.2500 0.7414
Mn16 0.8130 0.7500 0.2414
Mn17 0.9149 0.7500 0.4721
Mn18 0.9227 0.5143 0.6928
Mn19 0.9227 0.9857 0.6928
Mn20 0.9463 0.2500 0.9168
Fe1 0.1349 0.7500 0.8518
Fe2 0.3651 0.2500 0.3518
Fe3 0.6349 0.7500 0.6482
Fe4 0.8651 0.2500 0.1482
```

***

# 4
This record from Alexandria describes LiVC2N after structural relaxation. The functional is PBE.

Summary:
Energy (eV for the cell shown): -25.78
Total moment (Bohr magnetons per cell): 0.0
Crystal system: tetragonal

Geometry as CIF:
```
data_LiVC2N
_chemical_formula_sum 'Li1 V1 C2 N1'
_cell_length_a 3.1343
_cell_length_b 3.1343
_cell_length_c 4.7506
_cell_angle_alpha 90.00
_cell_angle_beta 90.00
_cell_angle_gamma 90.00
_symmetry_space_group_name_H-M 'P 1'
_symmetry_Int_Tables_number 1
loop_
_symmetry_equiv_pos_as_xyz
'x,y,z'
loop_
_atom_site_label
_atom_site_fract_x
_atom_site_fract_y
_atom_site_fract_z
Li1 0.0000 0.0000 0.0000
V1 0.0000 0.0000 0.5000
C1 0.0000 0.5000 0.0000
C2 0.5000 0.0000 0.0000
N1 0.5000 0.5000 0.5000
```

***

# 5
This record from Alexandria describes LiScAsSe2 after structural relaxation. The functional is PBE.

Summary:
Energy (eV for the cell shown): -22.20
Total moment (Bohr magnetons per cell): 0.7
Crystal system: tetragonal

Geometry as CIF:
```
data_LiScAsSe2
_chemical_formula_sum 'Li1 Sc1 As1 Se2'
_cell_length_a 5.1936
_cell_length_b 5.1936
_cell_length_c 5.1510
_cell_angle_alpha 90.00
_cell_angle_beta 90.00
_cell_angle_gamma 90.00
_symmetry_space_group_name_H-M 'P 1'
_symmetry_Int_Tables_number 1
loop_
_symmetry_equiv_pos_as_xyz
'x,y,z'
loop_
_atom_site_label
_atom_site_fract_x
_atom_site_fract_y
_atom_site_fract_z
Li1 0.0000 0.0000 0.0000
Sc1 0.5000 0.5000 0.5000
As1 0.5000 0.5000 0.0000
Se1 0.0000 0.5000 0.5000
Se2 0.5000 0.0000 0.5000
```

***

# 6
This record from Alexandria describes ErScTlRh after structural relaxation. The functional is PBE.

Summary:
Total moment (Bohr magnetons per cell): 0.0
Crystal system: tetragonal
Energy relative to the elements (meV per atom): -635

Geometry as CIF:
```
data_ErScTlRh
_chemical_formula_sum 'Er1 Sc1 Tl1 Rh1'
_cell_length_a 3.4201
_cell_length_b 3.4201
_cell_length_c 7.3882
_cell_angle_alpha 90.00
_cell_angle_beta 90.00
_cell_angle_gamma 90.00
_symmetry_space_group_name_H-M 'P 1'
_symmetry_Int_Tables_number 1
loop_
_symmetry_equiv_pos_as_xyz
'x,y,z'
loop_
_atom_site_label
_atom_site_fract_x
_atom_site_fract_y
_atom_site_fract_z
Er1 0.0000 0.0000 0.0000
Sc1 0.0000 0.0000 0.5710
Tl1 0.5000 0.5000 0.3031
Rh1 0.5000 0.5000 0.7658
```

***

# 7
This record from Alexandria describes Tm3Zn3Co2 after structural relaxation. The functional is PBE.

Summary:
Total moment (Bohr magnetons per cell): 0.0
Crystal system: orthorhombic
Energy relative to the elements (meV per atom): -310

Geometry as CIF:
```
data_Tm3Zn3Co2
_chemical_formula_sum 'Tm12 Zn12 Co8'
_cell_length_a 7.1594
_cell_length_b 15.4189
_cell_length_c 5.3805
_cell_angle_alpha 90.00
_cell_angle_beta 90.00
_cell_angle_gamma 90.00
_symmetry_space_group_name_H-M 'P 1'
_symmetry_Int_Tables_number 1
loop_
_symmetry_equiv_pos_as_xyz
'x,y,z'
loop_
_atom_site_label
_atom_site_fract_x
_atom_site_fract_y
_atom_site_fract_z
Tm1 0.0347 0.1077 0.1125
Tm2 0.0347 0.3923 0.1125
Tm3 0.1667 0.2500 0.6430
Tm4 0.3333 0.7500 0.1430
Tm5 0.4653 0.6077 0.6125
Tm6 0.4653 0.8923 0.6125
Tm7 0.5347 0.1077 0.3875
Tm8 0.5347 0.3923 0.3875
Tm9 0.6667 0.2500 0.8570
Tm10 0.8333 0.7500 0.3570
Tm11 0.9653 0.6077 0.8875
Tm12 0.9653 0.8923 0.8875
Zn1 0.1691 0.0329 0.5993
Zn2 0.1691 0.4671 0.5993
Zn3 0.1769 0.7500 0.6299
Zn4 0.3231 0.2500 0.1299
Zn5 0.3309 0.5329 0.0993
Zn6 0.3309 0.9671 0.0993
Zn7 0.6691 0.0329 0.9007
Zn8 0.6691 0.4671 0.9007
Zn9 0.6769 0.7500 0.8701
Zn10 0.8231 0.2500 0.3701
Zn11 0.8309 0.5329 0.4007
Zn12 0.8309 0.9671 0.4007
Co1 0.1260 0.6141 0.3770
Co2 0.1260 0.8859 0.3770
Co3 0.3740 0.1141 0.8770
Co4 0.3740 0.3859 0.8770
Co5 0.6260 0.6141 0.1230
Co6 0.6260 0.8859 0.1230
Co7 0.8740 0.1141 0.6230
Co8 0.8740 0.3859 0.6230
```

***

# 8
This record from Alexandria describes CaMn2ZnW after structural relaxation. The functional is PBE.

Summary:
Total moment (Bohr magnetons per cell): 1.1
Crystal system: tetragonal
Energy relative to the elements (meV per atom): 1645

Geometry as CIF:
```
data_CaMn2ZnW
_chemical_formula_sum 'Ca1 Mn2 Zn1 W1'
_cell_length_a 4.4912
_cell_length_b 4.4912
_cell_length_c 4.6909
_cell_angle_alpha 90.00
_cell_angle_beta 90.00
_cell_angle_gamma 90.00
_symmetry_space_group_name_H-M 'P 1'
_symmetry_Int_Tables_number 1
loop_
_symmetry_equiv_pos_as_xyz
'x,y,z'
loop_
_atom_site_label
_atom_site_fract_x
_atom_site_fract_y
_atom_site_fract_z
Ca1 0.0000 0.0000 0.0000
Mn1 0.0000 0.5000 0.5000
Mn2 0.5000 0.0000 0.5000
Zn1 0.5000 0.5000 0.5000
W1 0.5000 0.5000 0.0000
```

***

Question: The highest total moment belongs to which entry?
Answer: HfMn5Fe

***

Question: Look up the total moment of the first one.
Answer: 0.0 Bohr magnetons per cell

***

What did the first record say?
This record from Alexandria describes SrGa3P after structural relaxation. The functional is PBE.

Summary:
Total moment (Bohr magnetons per cell): 0.0
Crystal system: cubic
Energy relative to the elements (meV per atom): 1229

Geometry as CIF:
```
data_SrGa3P
_chemical_formula_sum 'Sr1 Ga3 P1'
_cell_length_a 5.7228
_cell_length_b 5.7228
_cell_length_c 5.7228
_cell_angle_alpha 90.00
_cell_angle_beta 90.00
_cell_angle_gamma 90.00
_symmetry_space_group_name_H-M 'P 1'
_symmetry_Int_Tables_number 1
loop_
_symmetry_equiv_pos_as_xyz
'x,y,z'
loop_
_atom_site_label
_atom_site_fract_x
_atom_site_fract_y
_atom_site_fract_z
Sr1 0.0000 0.0000 0.0000
Ga1 0.0000 0.0000 0.5000
Ga2 0.0000 0.5000 0.0000
Ga3 0.5000 0.0000 0.0000
P1 0.5000 0.5000 0.5000
```